Arrangement P

Below is a relaxed structure of CrC2, with properties calculated at the PBE-GGA level.

abc: 3.251 3.251 10.999
angles: 90.00 90.00 120.00
Element x y z (fractional)
Cr1 0.333 0.667 0.088
Cr2 0.333 0.667 0.412
Cr3 0.667 0.333 0.588
Cr4 0.667 0.333 0.912
C1 0.000 0.000 0.000
C2 0.000 0.000 0.500
C3 0.157 0.314 0.250
C4 0.157 0.843 0.250
C5 0.314 0.157 0.750
C6 0.686 0.843 0.250
C7 0.843 0.157 0.750
C8 0.843 0.686 0.750


Arrangement Q

Below is a relaxed structure of CrC2, with properties calculated at the PBE-GGA level.

abc: 2.572 2.572 7.678
angles: 90.00 90.00 120.00
Element x y z (fractional)
Cr1 0.333 0.667 0.250
Cr2 0.667 0.333 0.750
C1 0.333 0.667 0.529
C2 0.333 0.667 0.971
C3 0.667 0.333 0.029
C4 0.667 0.333 0.471


Relative energies, in eV/atom, with the most stable structure set to zero: arrangement P 0.657; arrangement Q 0.000.


Arrangement P

Below is a relaxed structure of BeP3, with properties calculated at the PBE-GGA level.

abc: 2.507 3.286 6.611
angles: 90.00 99.79 90.00
Element x y z (fractional)
Be1 0.000 0.000 0.000
P1 0.000 0.000 0.500
P2 0.121 0.500 0.769
P3 0.879 0.500 0.231


Arrangement Q

Below is a relaxed structure of BeP3, with properties calculated at the PBE-GGA level.

abc: 4.603 4.907 4.946
angles: 90.00 90.00 90.00
Element x y z (fractional)
Be1 0.250 0.250 0.079
Be2 0.750 0.750 0.921
P1 0.250 0.025 0.508
P2 0.250 0.475 0.508
P3 0.250 0.750 0.923
P4 0.750 0.250 0.077
P5 0.750 0.525 0.492
P6 0.750 0.975 0.492


Relative energies, in eV/atom, with the most stable structure set to zero: arrangement P 0.000; arrangement Q 0.037.


Arrangement P

Below is a relaxed structure of TlSbPb2, with properties calculated at the PBE-GGA level.

abc: 5.582 5.582 5.582
angles: 60.00 60.00 60.00
Element x y z (fractional)
Tl1 0.000 0.000 0.000
Sb1 0.500 0.500 0.500
Pb1 0.250 0.250 0.250
Pb2 0.750 0.750 0.750


Arrangement Q

Below is a relaxed structure of TlSbPb2, with properties calculated at the PBE-GGA level.

abc: 11.436 11.436 11.436
angles: 17.78 17.78 17.78
Element x y z (fractional)
Tl1 0.000 0.000 0.000
Sb1 0.500 0.500 0.500
Pb1 0.247 0.247 0.247
Pb2 0.753 0.753 0.753


Relative energies, in eV/atom, with the most stable structure set to zero: arrangement P 0.000; arrangement Q 0.010.


Arrangement P

Below is a relaxed structure of BeAlSb2, with properties calculated at the PBE-GGA level.

abc: 3.380 3.380 7.915
angles: 90.00 90.00 109.11
Element x y z (fractional)
Be1 0.000 0.000 0.000
Al1 0.000 0.000 0.500
Sb1 0.500 0.500 0.213
Sb2 0.500 0.500 0.787


Arrangement Q

Below is a relaxed structure of BeAlSb2, with properties calculated at the PBE-GGA level.

abc: 4.963 4.963 4.963
angles: 60.00 60.00 60.00
Element x y z (fractional)
Be1 0.000 0.000 0.000
Al1 0.750 0.750 0.750
Sb1 0.250 0.250 0.250
Sb2 0.500 0.500 0.500


Relative energies, in eV/atom, with the most stable structure set to zero: arrangement P 0.000; arrangement Q 0.238.